(1)
Computed, not measured: a geometry-optimized ZnCdHg2 structure at the GGA-PBEsol level of DFT.

Cell: 3.7982 4.9822 4.7538 Å, 100.18 90.00 112.41°
Last column: nearest neighbours and their distance in Å.
Atoms (fractional coordinates):
Zn 0.4996 0.9991 0.4953  5 Hg 2.72-3.01, 1 Cd 2.77
Cd 0.2518 0.5036 0.7467  3 Zn 2.77-3.06, 5 Hg 2.79-3.01
Hg 0.7508 0.5016 0.2720  3 Zn 2.72-3.01, 1 Hg 2.87, 2 Cd 2.95
Hg 0.9978 0.9956 0.9859  3 Cd 2.79-3.01, 3 Hg 2.87-3.11, 4 Zn 3.01-3.08

Results
- SG: Cm (8)
- Density of states at the Fermi level: 1.2 states/eV/f.u.

(2)
Computed, not measured: a geometry-optimized ZnCdHg2 structure at the GGA-PBEsol level of DFT.

Cell: 3.0783 3.0783 8.4170 Å, 90.00 90.00 90.00°
Last column: nearest neighbours and their distance in Å.
Atoms (fractional coordinates):
Cd 0.5000 0.5000 0.5000  4 Cd 3.08, 8 Hg 3.14
Zn 0.5000 0.5000 0.0000  8 Hg 2.91, 4 Zn 3.08
Hg 0.0000 0.0000 0.7697  4 Zn 2.91, 4 Hg 3.08, 4 Cd 3.14
Hg 0.0000 0.0000 0.2303  4 Zn 2.91, 4 Hg 3.08, 4 Cd 3.14

Results
- SG: P4/mmm (123)
- Density of states at the Fermi level: 1.4 states/eV/f.u.

(3)
Computed, not measured: a geometry-optimized Zn2CdHg structure at the GGA-PBEsol level of DFT.

Cell: 3.6393 3.6148 5.5414 Å, 90.00 90.00 90.00°
Last column: nearest neighbours and their distance in Å.
Atoms (fractional coordinates):
Hg 0.5000 0.5000 0.5000  2 Cd 2.77, 8 Zn 2.91
Cd 0.5000 0.5000 0.0000  2 Hg 2.77, 8 Zn 2.92
Zn 0.0000 0.0000 0.7485  2 Zn 2.75-2.79, 4 Hg 2.91, 4 Cd 2.92
Zn 0.0000 0.0000 0.2515  2 Zn 2.75-2.79, 4 Hg 2.91, 4 Cd 2.92

Results
- SG: Pmmm (47)
- Density of states at the Fermi level: 1.1 states/eV/f.u.

(4)
Computed, not measured: a geometry-optimized Zn2CdHg structure at the GGA-PBEsol level of DFT.

Cell: 3.2826 4.3035 5.2241 Å, 90.00 100.41 90.00°
Last column: nearest neighbours and their distance in Å.
Atoms (fractional coordinates):
Cd 0.4752 0.0000 0.4475  7 Zn 2.82-2.94, 2 Hg 2.99
Zn 0.9348 0.5000 0.2683  2 Zn 2.61, 2 Hg 2.80-2.85, 4 Cd 2.84-2.88
Zn 0.8200 0.0000 0.9832  2 Zn 2.61, 2 Cd 2.82-2.86, 4 Hg 2.86-2.87
Hg 0.2699 0.5000 0.8009  7 Zn 2.80-2.97, 2 Cd 2.99

Results
- SG: Pm (6)
- Density of states at the Fermi level: 1.0 states/eV/f.u.

(5)
Computed, not measured: a geometry-optimized Zn2CdHg structure at the GGA-PBEsol level of DFT.

Cell: 3.0936 3.0936 8.9749 Å, 80.08 80.08 60.00°
Last column: nearest neighbours and their distance in Å.
Atoms (fractional coordinates):
Cd 0.4942 0.4942 0.5173  3 Zn 2.83, 3 Hg 3.07, 6 Cd 3.09
Zn 0.0058 0.0058 0.9825  3 Zn 2.60, 3 Hg 2.84
Zn 0.7442 0.7442 0.7673  3 Zn 2.60, 3 Cd 2.83
Hg 0.2557 0.2557 0.2329  3 Zn 2.84, 3 Cd 3.07, 6 Hg 3.09

Results
- SG: R3m (160)
- Density of states at the Fermi level: 1.1 states/eV/f.u.

(6)
Computed, not measured: a geometry-optimized ZnCd2Hg structure at the GGA-PBEsol level of DFT.

Cell: 2.8774 4.9047 6.3915 Å, 112.56 103.01 90.00°
Last column: nearest neighbours and their distance in Å.
Atoms (fractional coordinates):
Cd 0.2851 0.2851 0.5702  2 Zn 2.85, 6 Cd 2.88-2.95
Cd 0.7149 0.7149 0.4298  2 Zn 2.85, 6 Cd 2.88-2.95
Zn 0.0000 0.5000 0.0000  4 Hg 2.84, 4 Cd 2.85, 2 Zn 2.88
Hg 0.5000 0.0000 0.0000  4 Zn 2.84, 2 Hg 2.88

Results
- SG: Immm (71)
- Density of states at the Fermi level: 1.3 states/eV/f.u.

(7)
Computed, not measured: a geometry-optimized ZnCd2Hg structure at the GGA-PBEsol level of DFT.

Cell: 3.7681 4.9455 4.7592 Å, 101.18 90.00 112.39°
Last column: nearest neighbours and their distance in Å.
Atoms (fractional coordinates):
Zn 0.7495 0.4990 0.2476  3 Hg 2.76-3.00, 7 Cd 2.77-3.06
Hg 0.4995 0.9990 0.4887  3 Zn 2.76-3.00, 5 Cd 2.83-3.03
Cd 0.2506 0.5011 0.7546  3 Cd 2.80-3.01, 3 Hg 2.83-3.03, 4 Zn 3.01-3.06
Cd 0.0005 0.0009 0.0091  3 Zn 2.77-2.99, 3 Cd 2.80-3.01, 2 Hg 2.96

Results
- SG: Cm (8)
- Density of states at the Fermi level: 1.2 states/eV/f.u.

(8)
Computed, not measured: a geometry-optimized Zn2CdHg structure at the GGA-PBEsol level of DFT.

Cell: 3.0072 3.0072 7.9731 Å, 90.00 90.00 89.87°
Last column: nearest neighbours and their distance in Å.
Atoms (fractional coordinates):
Zn 0.0000 0.0000 0.2519  4 Cd 2.90-2.91, 4 Hg 2.92-2.93, 4 Zn 3.01
Zn 0.0000 0.0000 0.7481  4 Cd 2.90-2.91, 4 Hg 2.92-2.93, 4 Zn 3.01
Cd 0.5000 0.5000 0.5000  8 Zn 2.90-2.91, 4 Cd 3.01
Hg 0.5000 0.5000 0.0000  8 Zn 2.92-2.93, 4 Hg 3.01

Results
- SG: Cmmm (65)
- Density of states at the Fermi level: 1.3 states/eV/f.u.

(9)
Computed, not measured: a geometry-optimized ZnCd2Hg structure at the GGA-PBEsol level of DFT.

Cell: 3.0433 3.0433 8.4541 Å, 90.00 90.00 90.00°
Last column: nearest neighbours and their distance in Å.
Atoms (fractional coordinates):
Zn 0.5000 0.5000 0.7523  4 Cd 2.89, 4 Hg 2.91, 4 Zn 3.04
Hg 0.0000 0.0000 0.5197  4 Zn 2.91, 4 Hg 3.04, 4 Cd 3.15
Cd 0.5000 0.5000 0.2474  8 Cd 3.04-3.12, 4 Hg 3.15
Cd 0.0000 0.0000 0.9807  4 Zn 2.89, 8 Cd 3.04-3.12

Results
- SG: P4mm (99)
- Density of states at the Fermi level: 1.3 states/eV/f.u.

(10)
Computed, not measured: a geometry-optimized ZnCd2Hg structure at the GGA-PBEsol level of DFT.

Cell: 3.1565 3.1565 9.3416 Å, 80.27 80.27 60.00°
Last column: nearest neighbours and their distance in Å.
Atoms (fractional coordinates):
Cd 0.2555 0.2555 0.2336  3 Zn 2.81, 3 Hg 3.05
Cd 0.7445 0.7445 0.7664  3 Zn 2.81, 3 Hg 3.05
Hg 0.5000 0.5000 0.5000  6 Cd 3.05, 6 Hg 3.16
Zn 0.0000 0.0000 0.0000  6 Cd 2.81

Results
- SG: R-3m (166)
- Density of states at the Fermi level: 1.2 states/eV/f.u.

(11)
Computed, not measured: a geometry-optimized ZnCdHg2 structure at the GGA-PBEsol level of DFT.

Cell: 3.2790 3.2790 8.9413 Å, 79.43 79.43 60.00°
Last column: nearest neighbours and their distance in Å.
Atoms (fractional coordinates):
Cd 0.0000 0.0000 0.0000  6 Hg 3.00, 6 Cd 3.28
Zn 0.5000 0.5000 0.5000  6 Hg 2.78
Hg 0.7556 0.7556 0.7332  3 Zn 2.78, 3 Cd 3.00
Hg 0.2444 0.2444 0.2668  3 Zn 2.78, 3 Cd 3.00

Results
- SG: R-3m (166)
- Density of states at the Fermi level: 1.4 states/eV/f.u.

(12)
Computed, not measured: a geometry-optimized ZnCdHg2 structure at the GGA-PBEsol level of DFT.

Cell: 3.6719 3.9488 5.6050 Å, 90.00 90.00 90.00°
Last column: nearest neighbours and their distance in Å.
Atoms (fractional coordinates):
Hg 0.0000 0.0000 0.9894  2 Zn 2.80-2.81, 4 Cd 3.00, 4 Hg 3.11
Hg 0.5000 0.5000 0.2665  2 Cd 2.74-2.86, 4 Zn 2.97
Zn 0.0000 0.0000 0.4887  6 Hg 2.80-2.97, 4 Cd 3.08
Cd 0.5000 0.5000 0.7554  6 Hg 2.74-3.00

Results
- SG: Pmm2 (25)
- Density of states at the Fermi level: 1.1 states/eV/f.u.

| no. | ΔH_f (0 K) (meV per atom) | ΔE to the lowest computed polymorph (meV/atom) |
| --- | --- | --- |
| 1 | 45 | 13 |
| 2 | 56 | 24 |
| 3 | 83 | 18 |
| 4 | 76 | 12 |
| 5 | 73 | 9 |
| 6 | 45 | 1 |
| 7 | 44 | 0 |
| 8 | 106 | 41 |
| 9 | 56 | 12 |
| 10 | 50 | 6 |
| 11 | 32 | 0 |
| 12 | 47 | 15 |